--- A ---
The following is a meta-GGA SCAN calculation of CrRh2W at its PBEsol-relaxed geometry, from Alexandria. Values from VASP.

Geometry as Quantum ESPRESSO input:
```
&SYSTEM
  ibrav = 0, nat = 4, ntyp = 3
/
ATOMIC_SPECIES
Rh 102.91 Rh.upf
W 183.84 W.upf
Cr 52.00 Cr.upf
CELL_PARAMETERS angstrom
-3.087 2.140 -0.252
-1.413 -2.343 -2.586
0.614 -1.937 4.160
ATOMIC_POSITIONS crystal
Rh 0.750 0.250 0.500
Rh 0.250 0.750 0.500
W 0.000 0.000 0.000
Cr 0.500 0.500 0.000
```

---

--- B ---
The following is a meta-GGA SCAN calculation of CrRh2W at its PBEsol-relaxed geometry, from Alexandria. Values from VASP.

Geometry as Quantum ESPRESSO input:
```
&SYSTEM
  ibrav = 0, nat = 4, ntyp = 3
/
ATOMIC_SPECIES
Cr 52.00 Cr.upf
Rh 102.91 Rh.upf
W 183.84 W.upf
CELL_PARAMETERS angstrom
-1.395 2.068 -0.975
-2.907 -2.288 -0.695
-1.942 0.987 4.872
ATOMIC_POSITIONS crystal
Cr 0.500 0.500 0.500
Rh 0.000 0.000 0.259
Rh 0.000 0.000 0.741
W 0.500 0.500 0.000
```

---

--- C ---
The following is a meta-GGA SCAN calculation of CrRh2W at its PBEsol-relaxed geometry, from Alexandria. Values from VASP.

Geometry as Quantum ESPRESSO input:
```
&SYSTEM
  ibrav = 0, nat = 4, ntyp = 3
/
ATOMIC_SPECIES
Cr 52.00 Cr.upf
Rh 102.91 Rh.upf
W 183.84 W.upf
CELL_PARAMETERS angstrom
2.690 0.000 0.000
0.000 4.284 0.000
0.000 0.000 4.677
ATOMIC_POSITIONS crystal
Cr 0.500 0.500 0.202
Rh 0.000 0.000 0.055
Rh 0.000 0.500 0.704
W 0.500 0.000 0.539
```

---

Most stable: A (next structure +0.037 eV/atom)

---

--- A ---
The following is a meta-GGA SCAN calculation of ZnCrRh3 at its PBEsol-relaxed geometry, from Alexandria. Values from VASP.

Geometry as Quantum ESPRESSO input:
```
&SYSTEM
  ibrav = 0, nat = 5, ntyp = 3
/
ATOMIC_SPECIES
Zn 65.41 Zn.upf
Rh 102.91 Rh.upf
Cr 52.00 Cr.upf
CELL_PARAMETERS angstrom
4.361 0.000 0.000
0.000 4.361 0.000
0.000 0.000 4.361
ATOMIC_POSITIONS crystal
Zn 0.500 0.500 0.500
Rh 0.500 0.000 0.000
Rh 0.000 0.500 0.000
Rh 0.000 0.000 0.500
Cr 0.000 0.000 0.000
```

---

--- B ---
The following is a meta-GGA SCAN calculation of ZnCrRh3 at its PBEsol-relaxed geometry, from Alexandria. Values from VASP.

Geometry as Quantum ESPRESSO input:
```
&SYSTEM
  ibrav = 0, nat = 5, ntyp = 3
/
ATOMIC_SPECIES
Rh 102.91 Rh.upf
Zn 65.41 Zn.upf
Cr 52.00 Cr.upf
CELL_PARAMETERS angstrom
-1.537 -0.416 4.122
-3.580 -2.079 -1.545
2.085 -3.877 0.386
ATOMIC_POSITIONS crystal
Rh 0.000 0.000 0.500
Rh 0.500 0.000 0.000
Rh 0.000 0.500 0.000
Zn 0.000 0.000 0.000
Cr 0.500 0.500 0.500
```

---

Most stable: A (next structure +0.171 eV/atom)